# PBE-GGA Cs3Pa2Cl2O5, optimized geometry
# **Symmetry**: No. 139
# **Crystal system**: tetragonal
# **Calculated density**: 6.019 g/cm³
# **Raw formation energy**: -2666 meV per atom
data_Cs3Pa2Cl2O5
_symmetry_space_group_name_H-M 'P 1'
_symmetry_Int_Tables_number 1
_cell_length_a 4.517
_cell_length_b 4.517
_cell_length_c 14.049
_cell_angle_alpha 99.25
_cell_angle_beta 99.25
_cell_angle_gamma 90.00
loop_
_symmetry_equiv_pos_as_xyz
'x,y,z'
loop_
_atom_site_label
_atom_site_type_symbol
_atom_site_fract_x
_atom_site_fract_y
_atom_site_fract_z
Cs1 Cs 0.000 0.000 0.000
Cs2 Cs 0.174 0.174 0.348
Cs3 Cs 0.826 0.826 0.652
O1 O 0.415 0.915 0.831
O2 O 0.085 0.585 0.169
O3 O 0.500 0.500 0.000
O4 O 0.585 0.085 0.169
O5 O 0.915 0.415 0.831
Pa1 Pa 0.420 0.420 0.839
Pa2 Pa 0.580 0.580 0.161
Cl1 Cl 0.311 0.311 0.622
Cl2 Cl 0.689 0.689 0.378